Record 1
! Sr2HRh PBE-GGA relaxed; values from VASP
! **Energy above the lowest structure with this stoichiometry**: 0.167 eV/atom
! **Total energy**: -3.590 eV/atom
&SYSTEM
  ibrav = 0, nat = 4, ntyp = 3
/
ATOMIC_SPECIES
Sr 87.62 Sr.upf
H 1.01 H.upf
Rh 102.91 Rh.upf
ATOMIC_POSITIONS angstrom
Sr -9.231 -0.631 -0.918
Sr -3.077 -0.210 -0.306
H 0.000 0.000 0.000
Rh -6.154 -0.421 -0.612
CELL_PARAMETERS angstrom
-4.185 -2.236 1.762
-4.356 2.570 0.184
-3.767 -1.175 -3.169



Record 2
! Sr12H5Rh3 PBE-GGA relaxed; values from VASP
! **Total energy**: -3.201 eV/atom
&SYSTEM
  ibrav = 0, nat = 80, ntyp = 3
/
ATOMIC_SPECIES
Sr 87.62 Sr.upf
H 1.01 H.upf
Rh 102.91 Rh.upf
ATOMIC_POSITIONS angstrom
Sr 6.005 -1.076 6.903
Sr 1.776 -1.852 10.599
Sr 10.798 3.128 3.350
Sr 7.247 3.848 4.384
Sr 8.373 -4.727 10.254
Sr 3.047 1.735 3.695
Sr -5.413 -0.062 9.565
Sr -0.620 8.692 1.033
Sr 5.413 -1.914 10.706
Sr -6.005 3.650 8.389
Sr 4.142 -1.735 3.695
Sr 5.443 5.722 9.220
Sr -1.213 7.854 4.836
Sr 5.976 2.051 1.486
Sr 5.413 1.852 10.599
Sr -3.580 11.504 1.486
Sr 0.650 8.513 8.044
Sr 5.976 10.428 3.350
Sr -0.650 1.056 2.519
Sr 3.609 5.701 4.836
Sr -1.184 4.727 10.254
Sr 0.058 4.446 4.729
Sr -1.184 -3.650 8.389
Sr 1.746 5.043 8.044
Sr 3.017 4.864 1.033
Sr 4.734 2.332 7.011
Sr 2.338 9.110 4.729
Sr -3.047 7.834 9.220
Sr -2.455 -5.261 11.394
Sr -0.620 4.926 1.141
Sr 9.643 -2.929 7.356
Sr 1.776 1.914 10.706
Sr -1.746 -0.679 5.525
Sr 10.206 6.840 2.174
Sr -4.851 9.707 4.384
Sr 8.935 0.679 5.525
Sr 6.569 6.716 2.174
Sr 1.184 1.076 6.903
Sr -2.455 2.929 7.356
Sr 6.538 7.457 6.215
Sr -1.776 0.062 9.565
Sr -4.142 6.099 6.215
Sr 2.455 -2.332 7.011
Sr -4.734 5.261 11.394
Sr 3.017 8.630 1.141
Sr 7.247 12.039 0.345
Sr 9.527 1.517 0.345
Sr 7.839 -1.056 2.519
H 8.387 -0.847 7.337
H 4.793 6.778 0.000
H 4.793 -3.389 5.870
H 2.396 3.389 5.870
H 1.198 4.236 10.272
H -1.198 11.014 1.467
H 5.991 -4.236 10.272
H -1.198 3.389 2.935
H 5.991 5.931 4.402
H -2.396 -3.389 5.870
H -1.198 0.847 7.337
H 5.991 3.389 8.805
H -4.793 3.389 5.870
H -2.396 6.778 0.000
H 3.594 10.167 2.935
H 0.000 0.000 0.000
H -3.594 7.625 4.402
H 1.198 -3.389 8.805
H 3.594 2.542 1.467
H 7.189 0.000 0.000
Rh -3.594 2.542 10.272
Rh 3.594 7.625 7.337
Rh 1.198 6.778 2.935
Rh 10.783 0.000 2.935
Rh 1.198 -0.847 4.402
Rh -1.198 5.931 7.337
Rh 8.387 9.319 1.467
Rh -5.991 6.778 8.805
Rh 8.387 4.236 1.467
Rh 3.594 0.000 8.805
Rh 5.991 0.847 4.402
Rh -3.594 -2.542 10.272
CELL_PARAMETERS angstrom
14.378 0.000 0.000
-4.793 13.556 0.000
-4.793 -6.778 11.739



Which of these has the highest total energy? Sr12H5Rh3